Density functional theory data (PBE with a Hubbard U) for crystalline Rb3Nd2MnO6 at its relaxed geometry.

symmetry: C2/m (12)
electronic total energy: -6.268 eV/atom

a b c (Å): 6.061 6.061 6.970
angles (deg): 100.02 100.02 117.15
Fractional coordinates of all 12 atoms:
Rb: 0.000 0.000 0.000
Rb: 0.336 0.664 0.000
Rb: 0.664 0.336 0.000
Nd: 0.164 0.836 0.500
Nd: 0.836 0.164 0.500
Mn: 0.500 0.500 0.500
O: 0.151 0.439 0.342
O: 0.214 0.214 0.710
O: 0.439 0.151 0.342
O: 0.561 0.849 0.658
O: 0.786 0.786 0.290
O: 0.849 0.561 0.658